No. 1
DFT (PBE-GGA) results for a relaxed Tb2SiB2Rh5 crystal.

## Properties
energy relative to the elements, uncorrected = -816 meV/atom

Lattice parameters (Å, degrees): 9.3893 9.3893 3.2242 90.00 90.00 90.00
Last column: nearest neighbours and their distance in Å.
Space group P4/mbm (No. 127)
Asymmetric unit:
Tb 0.1760 0.3240 0.0000 x4  3 B 2.68-2.84, 10 Rh 2.84-2.99
Si 0.0000 0.0000 0.0000 x2  8 Rh 2.66
B 0.1222 0.6222 0.0000 x4  6 Rh 2.28-2.29
Rh 0.0000 0.5000 0.5000 x2  4 B 2.29
Rh 0.0687 0.7847 0.5000 x8  2 B 2.28



No. 2
DFT (PBE-GGA) results for a relaxed Ca2ScNi3As4 crystal.

## Properties
formation enthalpy at 0 K = -0.785 eV per atom

Lattice parameters (Å, degrees): 4.1809 4.1809 10.3759 90.00 90.00 90.00
Last column: nearest neighbours and their distance in Å.
Space group P-4m2 (No. 115)
Asymmetric unit:
Ca 0.0000 0.5000 0.2309 x2  8 As 3.18-3.19, 6 Ni 3.19-3.49, 2 Sc 3.49
Sc 0.0000 0.0000 0.5000 x1  4 As 2.63
Ni 0.0000 0.5000 0.8855 x2  5 As 2.40-2.41
Ni 0.5000 0.5000 0.5000 x1  4 As 2.63
As 0.0000 0.0000 0.0000 x1  4 Ni 2.40
As 0.0000 0.5000 0.6530 x2  3 Ni 2.41-2.63, 2 Sc 2.63
As 0.5000 0.5000 0.0000 x1  4 Ni 2.40



No. 3
DFT (PBE-GGA) results for a relaxed FeMoRh2 crystal.

## Properties
energy relative to the lowest polymorph listed for this composition = 215 kJ/mol of formula units
formation enthalpy at 0 K = 0.413 eV per atom

Lattice parameters (Å, degrees): 3.7388 3.7388 17.3245 90.00 90.00 90.00
Last column: nearest neighbours and their distance in Å.
Space group I-42d (No. 122)
Asymmetric unit:
Fe 0.0000 0.0000 0.0000 x4  4 Rh 2.52, 4 Mo 2.64
Mo 0.0000 0.0000 0.5000 x4  4 Rh 2.56, 4 Fe 2.64
Rh 0.2355 0.2500 0.1250 x8  2 Fe 2.52, 2 Mo 2.56, 4 Rh 2.57-2.72



No. 4
DFT (PBE-GGA) results for a relaxed Mg2TePd6 crystal.

## Properties
energy relative to the lowest polymorph listed for this composition = 0 kJ/mol of formula units
energy relative to the elements, uncorrected = -446 meV/atom

Lattice parameters (Å, degrees): 7.5592 7.5592 3.0227 90.00 90.00 120.00
Last column: nearest neighbours and their distance in Å.
Space group P-62m (No. 189)
Asymmetric unit:
Mg 0.3333 0.6667 0.0000 x2  9 Pd 2.64-2.82
Te 0.0000 0.0000 0.5000 x1  9 Pd 2.75-2.82, 2 Te 3.02
Pd 0.0000 0.3730 0.5000 x3  1 Te 2.82, 4 Mg 2.82, 8 Pd 2.88-3.02
Pd 0.0000 0.6967 0.0000 x3  2 Mg 2.64, 2 Te 2.75, 2 Pd 2.88